{
  "formula": "HPdPt",
  "functional": "PBE",
  "state": "optimized geometry",
  "cell": [[-3.681, -1.605, 0.316], [1.516, -3.617, -0.971], [0.704, -0.809, 4.120]],
  "species": ["H", "H", "Pd", "Pd", "Pt", "Pt"],
  "frac_coords": [[0.063, 0.117, 0.161], [0.064, 0.116, 0.678], [0.803, 0.856, 0.420], [0.324, 0.377, 0.420], [0.799, 0.381, 0.919], [0.328, 0.852, 0.920]],
  "de_polymorph_kj_per_mol_fu": 0.0,
  "magmom_total_mub_per_cell": 0.00
}